# PBE EuHoIn2, optimized geometry
data_EuHoIn2
_chemical_formula_sum 'Eu1 Ho1 In2'
_cell_length_a 3.7081
_cell_length_b 3.7081
_cell_length_c 10.3534
_cell_angle_alpha 79.68
_cell_angle_beta 79.68
_cell_angle_gamma 60.00
_symmetry_space_group_name_H-M 'P 1'
_symmetry_Int_Tables_number 1
loop_
_symmetry_equiv_pos_as_xyz
'x,y,z'
loop_
_atom_site_label
_atom_site_type_symbol
_atom_site_fract_x
_atom_site_fract_y
_atom_site_fract_z
_atom_site_occupancy
Eu1 Eu 0.5000 0.5000 0.5000 1
In1 In 0.7469 0.7469 0.7594 1
In2 In 0.2531 0.2531 0.2406 1
Ho1 Ho 0.0000 0.0000 0.0000 1
# electronic total energy: -21.48 eV per cell
# calculated formation energy: -1.15 eV/f.u.
# calculated volume: 30.155 A^3/atom